The following is a PBE calculation of crystalline LiCo2Au at its relaxed geometry, from Alexandria via LeMat-Bulk.

- energy of formation (meV/atom) = 86
- magnetic moment (μB/f.u.) = 3.1
- total energy (eV per atom) = -4.765

abc: 8.4465 2.6365 4.7959
angles: 90.00 98.58 90.00
Element x y z (fractional)
Li 0.0000 0.0000 0.0000
Li 0.5000 0.5000 0.0000
Co 0.2593 0.5000 0.2904
Co 0.4987 0.0000 0.4588
Co 0.7593 0.0000 0.2904
Co 0.9987 0.5000 0.4588
Au 0.2462 0.0000 0.7808
Au 0.7462 0.5000 0.7808

---

The following is a PBE calculation of crystalline Li2CoAu at its relaxed geometry, from Alexandria via LeMat-Bulk.

- energy of formation (meV/atom) = 8
- magnetic moment (μB/f.u.) = 1.5
- total energy (eV per atom) = -3.545

abc: 4.4228 4.4228 2.7837
angles: 90.00 90.00 90.00
Element x y z (fractional)
Li 0.0000 0.5000 0.0000
Li 0.5000 0.0000 0.0000
Co 0.0000 0.0000 0.5000
Au 0.5000 0.5000 0.5000

---

The following is a PBE calculation of crystalline Li2CoAu at its relaxed geometry, from Alexandria via LeMat-Bulk.

- energy of formation (meV/atom) = 167
- magnetic moment (μB/f.u.) = 1.7
- total energy (eV per atom) = -3.385

abc: 6.8649 6.8649 5.0983
angles: 90.00 90.00 90.00
Element x y z (fractional)
Li 0.2442 0.7500 0.1250
Li 0.2500 0.2442 0.8750
Li 0.2500 0.2558 0.3750
Li 0.2558 0.7500 0.6250
Li 0.7442 0.2500 0.6250
Li 0.7500 0.7442 0.3750
Li 0.7500 0.7558 0.8750
Li 0.7558 0.2500 0.1250
Co 0.0000 0.0000 0.0000
Co 0.0000 0.5000 0.2500
Co 0.5000 0.0000 0.7500
Co 0.5000 0.5000 0.5000
Au 0.0000 0.0000 0.5000
Au 0.0000 0.5000 0.7500
Au 0.5000 0.0000 0.2500
Au 0.5000 0.5000 0.0000

---

The following is a PBE calculation of crystalline Li2CoAu at its relaxed geometry, from Alexandria via LeMat-Bulk.

- energy of formation (meV/atom) = -23
- magnetic moment (μB/f.u.) = 1.4
- total energy (eV per atom) = -3.576

abc: 5.3449 7.8397 2.6797
angles: 90.00 90.00 90.00
Element x y z (fractional)
Li 0.2500 0.2500 0.0000
Li 0.2500 0.7500 0.0000
Li 0.7500 0.2500 0.0000
Li 0.7500 0.7500 0.0000
Co 0.0000 0.0000 0.5000
Co 0.5000 0.5000 0.5000
Au 0.0000 0.5000 0.5000
Au 0.5000 0.0000 0.5000